No. 1
DFT (PBE) results for a relaxed Mg5Hg4 crystal.

Results
Space group ... No. 139
V ... 21.77 A^3/atom
Energy above the lowest structure with this stoichiometry ... 62.6 meV/atom
Fermi-level density of states ... 3.2 states/eV/f.u.
ΔH_f (0 K) ... -0.15 eV per atom

The structure in POSCAR format:
```
Mg5Hg4
1.0
-4.6589 4.6589 2.2570
4.6589 -4.6589 2.2570
4.6589 4.6589 -2.2570
Mg Hg
5 4
direct
0.0000 0.0000 0.0000
0.3295 0.3295 0.6590
0.3295 0.6705 0.0000
0.6705 0.3295 0.0000
0.6705 0.6705 0.3410
0.0000 0.3164 0.3164
0.0000 0.6836 0.6836
0.3164 0.0000 0.3164
0.6836 0.0000 0.6836
```

***

No. 2
DFT (PBE) results for a relaxed Mg5Hg4 crystal.

Results
Space group ... No. 193
V ... 21.85 A^3/atom
Energy above the lowest structure with this stoichiometry ... 0.0 meV/atom
Fermi-level density of states ... 1.9 states/eV/f.u.
ΔH_f (0 K) ... -0.21 eV per atom

The structure in POSCAR format:
```
Mg5Hg4
1.0
8.5508 0.0000 0.0000
-4.2754 7.4052 0.0000
0.0000 0.0000 6.2108
Mg Hg
10 8
direct
0.0000 0.2944 0.2500
0.0000 0.7056 0.7500
0.2944 0.0000 0.2500
0.2944 0.2944 0.7500
0.3333 0.6667 0.0000
0.3333 0.6667 0.5000
0.6667 0.3333 0.0000
0.6667 0.3333 0.5000
0.7056 0.0000 0.7500
0.7056 0.7056 0.2500
0.0000 0.0000 0.0000
0.0000 0.0000 0.5000
0.0000 0.3753 0.7500
0.0000 0.6247 0.2500
0.3753 0.0000 0.7500
0.3753 0.3753 0.2500
0.6247 0.0000 0.2500
0.6247 0.6247 0.7500
```

***

No. 3
DFT (PBE) results for a relaxed MgHg crystal.

Results
Space group ... No. 8
V ... 22.25 A^3/atom
Fermi-level density of states ... 0.7 states/eV/f.u.
ΔH_f (0 K) ... -0.14 eV per atom

The structure in POSCAR format:
```
MgHg
1.0
6.0708 -1.6106 0.0000
6.0708 1.6106 0.0000
-1.6450 0.0000 6.8266
Mg Hg
3 3
direct
0.0000 0.0000 0.0000
0.0344 0.0344 0.5615
0.7098 0.7098 0.9068
0.3420 0.3420 0.6751
0.3694 0.3694 0.2336
0.6555 0.6555 0.3192
```

***

No. 4
DFT (PBE) results for a relaxed MgHg3 crystal.

Results
Space group ... No. 223
V ... 23.89 A^3/atom
Fermi-level density of states ... 1.5 states/eV/f.u.
ΔH_f (0 K) ... -0.03 eV per atom

The structure in POSCAR format:
```
MgHg3
1.0
5.7601 0.0000 0.0000
0.0000 5.7601 0.0000
0.0000 0.0000 5.7601
Mg Hg
2 6
direct
0.0000 0.0000 0.0000
0.5000 0.5000 0.5000
0.0000 0.2500 0.5000
0.0000 0.7500 0.5000
0.2500 0.5000 0.0000
0.5000 0.0000 0.2500
0.5000 0.0000 0.7500
0.7500 0.5000 0.0000
```